First-principles (PBE) data for crystalline Hg2PtO3 at its relaxed geometry, as listed in OQMD.

For the total magnetization, the calculation gives 0.02 Bohr magnetons per cell. The polymorph energy (0 for the lowest one) is 74 meV/atom.

```
6
Lattice="-3.566 1.627 6.508 -4.061 5.467 3.367 1.788 -4.860 -5.559" Properties=species:S:1:pos:R:3 pbc="T T T"
Hg -2.540 2.363 3.289
Hg -5.087 4.731 6.586
O -1.082 1.006 1.401
O -6.545 6.088 8.474
O -0.889 -1.616 0.474
Pt 0.000 0.000 0.000
```